Crystalline Dy5YMg2 at its relaxed geometry, computed with GGA-PBE.

a b c (Å): 8.5260 8.5260 8.5260
angles (deg): 156.39 101.90 82.96
Atoms (fractional coordinates):
Dy  0.0000  0.0000  0.0000
Dy  0.0955  0.3675  0.7280
Dy  0.3606  0.6325  0.7280
Dy  0.6394  0.3675  0.2720
Dy  0.9045  0.6325  0.2720
Y  0.5000  0.0000  0.5000
Mg  0.2618  0.2618  0.0000
Mg  0.7382  0.7382  0.0000

## Properties
- Total energy: -32.37 eV/cell
- SG: No. 71
- E_form: 0.29 eV per formula unit